# KTcWO6

KTcWO6 after structural relaxation (GGA+U, Alexandria via LeMat-Bulk).

Computed properties:
* final energy: -7.10 eV per atom

Cell lengths 5.3223, 5.3223, 5.9700 Å; angles 90.00, 90.00, 120.00 degrees
Atoms (fractional coordinates):
1 K 0.0000 0.0000 0.0000
2 Tc 0.6667 0.3333 0.5000
3 W 0.3333 0.6667 0.5000
4 O 0.0033 0.3967 0.6841
5 O 0.0033 0.6066 0.3159
6 O 0.3934 0.3967 0.3159
7 O 0.3934 0.9967 0.6841
8 O 0.6033 0.6066 0.6841
9 O 0.6033 0.9967 0.3159